Computed, not measured: a geometry-optimized RbCeSe2 structure at the PBE-GGA level of DFT.

Total magnetic moment (Bohr magnetons per cell): 3.0
Calculated volume (Å³/atom): 33.87
VASP energy (eV/atom): -5.115
Space group: R3m, No. 160

Structure (POSCAR):
```
RbCeSe2
1.0
4.385 0.000 0.000
-2.192 3.797 0.000
0.000 0.000 24.407
Rb Ce Se
3 3 6
Direct
0.000 0.000 0.000
0.333 0.667 0.667
0.667 0.333 0.333
0.000 0.000 0.169
0.333 0.667 0.836
0.667 0.333 0.503
0.000 0.000 0.569
0.000 0.000 0.770
0.333 0.667 0.236
0.333 0.667 0.436
0.667 0.333 0.103
0.667 0.333 0.902
```